1.
## ZrAg2W (PBE)

Data for crystalline ZrAg2W at its relaxed geometry. Values from VASP.

## Properties
Symmetry: F-43m, No. 216
Formation energy from the elements in kJ per mole of atoms: 60.88

```
&SYSTEM
  ibrav = 0, nat = 4, ntyp = 3
/
ATOMIC_SPECIES
Ag 107.87 Ag.upf
W 183.84 W.upf
Zr 91.22 Zr.upf
ATOMIC_POSITIONS crystal
Ag 0.0000 0.0000 0.0000
Ag 0.2500 0.2500 0.2500
W 0.5000 0.5000 0.5000
Zr 0.7500 0.7500 0.7500
CELL_PARAMETERS angstrom
4.7336 0.0000 0.0000
2.3668 4.0994 0.0000
2.3668 1.3665 3.8649
```

=====

2.
## Rb2TlVS4 (PBE)

Data for crystalline Rb2TlVS4 at its relaxed geometry. Values from VASP.

## Properties
Formation energy without anion corrections in eV/atom: -0.886
Symmetry: Fddd, No. 70

```
&SYSTEM
  ibrav = 0, nat = 16, ntyp = 4
/
ATOMIC_SPECIES
Rb 85.47 Rb.upf
Tl 204.38 Tl.upf
V 50.94 V.upf
S 32.06 S.upf
ATOMIC_POSITIONS crystal
Rb 0.1859 0.0000 0.6281
Rb 0.8141 0.0000 0.3719
Rb 0.5641 0.5000 0.8719
Rb 0.9359 0.5000 0.1281
Tl 0.7500 0.5000 0.5000
Tl 0.0000 0.0000 0.0000
V 0.2500 0.5000 0.5000
V 0.5000 0.0000 0.0000
S 0.3660 0.8088 0.1010
S 0.2758 0.1912 0.8990
S 0.8252 0.8088 0.8990
S 0.5330 0.1912 0.1010
S 0.3840 0.6912 0.3990
S 0.4742 0.3088 0.6010
S 0.9248 0.6912 0.6010
S 0.2170 0.3088 0.3990
CELL_PARAMETERS angstrom
7.1574 0.0000 0.0000
3.5787 6.4904 0.0000
3.5787 0.0000 12.2293
```

=====

3.
## AcB4Os (PBE)

Data for crystalline AcB4Os at its relaxed geometry. Values from VASP.

## Properties
Symmetry: Pbam, No. 55
Formation energy from the elements in kJ per mole of atoms: -25.22

```
&SYSTEM
  ibrav = 0, nat = 24, ntyp = 3
/
ATOMIC_SPECIES
Ac 227.00 Ac.upf
B 10.81 B.upf
Os 190.23 Os.upf
ATOMIC_POSITIONS crystal
Ac 0.0000 0.6239 0.3485
Ac 0.0000 0.3761 0.6515
Ac 0.0000 0.1239 0.1515
Ac 0.0000 0.8761 0.8485
B 0.5000 0.7716 0.1779
B 0.5000 0.2284 0.8221
B 0.5000 0.2716 0.3221
B 0.5000 0.7284 0.6779
B 0.5000 0.8505 0.0318
B 0.5000 0.1495 0.9682
B 0.5000 0.3505 0.4682
B 0.5000 0.6495 0.5318
B 0.5000 0.8921 0.4569
B 0.5000 0.1079 0.5431
B 0.5000 0.3921 0.0431
B 0.5000 0.6079 0.9569
B 0.5000 0.9786 0.3188
B 0.5000 0.0214 0.6812
B 0.5000 0.4786 0.1812
B 0.5000 0.5214 0.8188
Os 0.0000 0.6360 0.0903
Os 0.0000 0.3640 0.9097
Os 0.0000 0.1360 0.4097
Os 0.0000 0.8640 0.5903
CELL_PARAMETERS angstrom
-0.0616 -3.1725 -1.9813
1.2657 -3.2703 5.1971
-11.9247 -1.1359 2.1895
```

=====

4.
## LuScAgBi (PBE)

Data for crystalline LuScAgBi at its relaxed geometry. Values from VASP.

## Properties
Symmetry: F-43m, No. 216
Formation energy from the elements in kJ per mole of atoms: -30.91

```
&SYSTEM
  ibrav = 0, nat = 4, ntyp = 4
/
ATOMIC_SPECIES
Sc 44.96 Sc.upf
Lu 174.97 Lu.upf
Bi 208.98 Bi.upf
Ag 107.87 Ag.upf
ATOMIC_POSITIONS crystal
Sc 0.5000 0.5000 0.5000
Lu 0.0000 0.0000 0.0000
Bi 0.7500 0.7500 0.7500
Ag 0.2500 0.2500 0.2500
CELL_PARAMETERS angstrom
5.1371 0.0000 0.0000
2.5686 4.4489 0.0000
2.5686 1.4830 4.1945
```

=====

5.
## BaLa3Cl (PBE)

Data for crystalline BaLa3Cl at its relaxed geometry. Values from VASP.

## Properties
Energy above the most stable polymorph in this dataset in eV per atom: 1.146
Formation energy without anion corrections in eV/atom: 0.626
Symmetry: Pm-3m, No. 221

```
&SYSTEM
  ibrav = 0, nat = 5, ntyp = 3
/
ATOMIC_SPECIES
Cl 35.45 Cl.upf
Ba 137.33 Ba.upf
La 138.91 La.upf
ATOMIC_POSITIONS crystal
Cl 0.5000 0.5000 0.5000
Ba 0.0000 0.0000 0.0000
La 0.0000 0.5000 0.0000
La 0.0000 0.0000 0.5000
La 0.5000 0.0000 0.0000
CELL_PARAMETERS angstrom
-3.5115 -4.1587 -2.6533
4.6458 -3.8830 -0.0624
-1.6586 -2.0719 5.4425
```

=====

6.
## LiSeSN2 (PBE)

Data for crystalline LiSeSN2 at its relaxed geometry. Values from VASP.

## Properties
Energy above the most stable polymorph in this dataset in eV per atom: 0.711
Formation energy without anion corrections in eV/atom: 1.806
Symmetry: P4/mmm, No. 123

```
&SYSTEM
  ibrav = 0, nat = 5, ntyp = 4
/
ATOMIC_SPECIES
S 32.06 S.upf
Li 6.94 Li.upf
Se 78.96 Se.upf
N 14.01 N.upf
ATOMIC_POSITIONS crystal
S 0.0000 0.0000 0.5000
Li 0.0000 0.0000 0.0000
Se 0.5000 0.5000 0.5000
N 0.0000 0.5000 0.0000
N 0.5000 0.0000 0.0000
CELL_PARAMETERS angstrom
3.8374 0.0000 0.0000
0.0000 3.8374 0.0000
0.0000 0.0000 4.7646
```